An optimized crystal structure of AcTbTe. Source: Alexandria, functional PBE.

## Properties
As for the symmetry: I4mm. The magnetic moment is 0.18 Bohr magnetons per cell. The value obtained for the density of states at the Fermi level is 1.404 states/eV/atom. The energy relative to the elements, uncorrected comes out at -74.2 kJ/mol of atoms. For the relative energy among the computed polymorphs, the calculation gives 0 meV per atom.

Lattice parameters (Å, degrees): 4.029 4.029 6.960 106.82 106.82 90.00
Site moments in Bohr magnetons follow the coordinates.
Positions (direct):
Te 0.306 0.306 0.613  0.00
Ac 0.620 0.620 0.241  0.03
Tb 0.923 0.923 0.846  0.07